WAuCl2 | PBE | relaxed

Values from the calculation:
ΔE_f (raw) = 0.717 eV/atom
D(E_F) = 0.779 states/eV per atom
Offset from the most stable computed form = 0.7791 eV/atom

Cell lengths 5.9796, 5.9796, 2.9176 Å; angles 60.91, 60.91, 91.33 degrees
With the nearest neighbours (Å) after each atom.
Sites, in units of the cell vectors:
Au1 0.0000 0.5000 0.5000  4 Cl 2.61, 2 Au 2.92
W1 0.5000 0.0000 0.5000  4 Cl 2.61, 2 W 2.92
Cl1 0.0000 0.0000 0.0000  2 W 2.61, 2 Au 2.61, 2 Cl 2.92
Cl2 0.5000 0.5000 0.0000  2 Au 2.61, 2 W 2.61, 2 Cl 2.92